Entry 1:
Ba2Hg2Pb: single point on PBEsol structure, meta-GGA SCAN.

DOS at the Fermi energy	0.4927	states/eV/atom
SG	P4/mbm, No. 127
energy	-58.89	eV/atom
energy relative to the elements	-0.65	eV/atom

```
data_Ba2Hg2Pb
_chemical_formula_sum 'Ba4 Hg4 Pb2'
_cell_length_a 4.369
_cell_length_b 8.813
_cell_length_c 8.813
_cell_angle_alpha 90.00
_cell_angle_beta 90.00
_cell_angle_gamma 90.00
_space_group_name_H-M_alt 'P 1'
_space_group_IT_number 1
_space_group_name_Hall 'P 1'
loop_
_atom_site_label
_atom_site_fract_x
_atom_site_fract_y
_atom_site_fract_z
Ba1 0.500 0.680 0.820
Pb1 0.000 0.500 0.500
Ba2 0.500 0.820 0.320
Hg1 0.000 0.881 0.619
Ba3 0.500 0.320 0.180
Hg2 0.000 0.119 0.381
Hg3 0.000 0.619 0.119
Ba4 0.500 0.180 0.680
Hg4 0.000 0.381 0.881
Pb2 0.000 0.000 0.000
```


Entry 2:
ZnCBr2: single point on PBEsol structure, meta-GGA SCAN.

energy above the most stable polymorph in this dataset	259	meV/atom
DOS at the Fermi energy	0.1115	states/eV/atom
SG	R-3m, No. 166
energy	-14.22	eV/atom

```
data_ZnCBr2
_chemical_formula_sum 'Zn1 C1 Br2'
_cell_length_a 3.346
_cell_length_b 3.346
_cell_length_c 9.106
_cell_angle_alpha 79.41
_cell_angle_beta 79.41
_cell_angle_gamma 60.00
_space_group_name_H-M_alt 'P 1'
_space_group_IT_number 1
_space_group_name_Hall 'P 1'
loop_
_atom_site_label
_atom_site_fract_x
_atom_site_fract_y
_atom_site_fract_z
Br1 0.113 0.113 0.661
Br2 0.887 0.887 0.339
Zn1 0.000 0.000 0.000
C1 0.500 0.500 0.500
```


Entry 3:
Y5Ge10Ir4: single point on PBEsol structure, meta-GGA SCAN.

DOS at the Fermi energy	0.3664	states/eV/atom
SG	P4/mbm, No. 127
energy	-33.29	eV/atom
energy relative to the elements	-0.95	eV/atom

```
data_Y5Ge10Ir4
_chemical_formula_sum 'Y10 Ge20 Ir8'
_cell_length_a 4.294
_cell_length_b 12.873
_cell_length_c 12.873
_cell_angle_alpha 90.00
_cell_angle_beta 90.00
_cell_angle_gamma 90.00
_space_group_name_H-M_alt 'P 1'
_space_group_IT_number 1
_space_group_name_Hall 'P 1'
loop_
_atom_site_label
_atom_site_fract_x
_atom_site_fract_y
_atom_site_fract_z
Ir1 0.000 0.480 0.746
Ge1 0.000 0.933 0.567
Y1 0.500 0.115 0.615
Y2 0.500 0.174 0.326
Ge2 0.500 0.157 0.996
Ge3 0.000 0.336 0.301
Ge4 0.000 0.836 0.199
Ge5 0.500 0.004 0.157
Ge6 0.500 0.996 0.843
Y3 0.500 0.385 0.115
Ge7 0.500 0.504 0.343
Ir2 0.000 0.020 0.246
Y4 0.000 0.000 0.000
Ir3 0.000 0.754 0.020
Y5 0.000 0.500 0.500
Ir4 0.000 0.254 0.480
Ir5 0.000 0.980 0.754
Y6 0.500 0.885 0.385
Ge8 0.000 0.067 0.433
Ge9 0.000 0.567 0.067
Ir6 0.000 0.746 0.520
Ge10 0.500 0.343 0.496
Ge11 0.500 0.843 0.004
Ge12 0.000 0.664 0.699
Y7 0.500 0.826 0.674
Ge13 0.500 0.496 0.657
Ge14 0.000 0.433 0.933
Ir7 0.000 0.246 0.980
Ge15 0.000 0.199 0.164
Ge16 0.000 0.164 0.801
Ge17 0.500 0.657 0.504
Ge18 0.000 0.301 0.664
Ir8 0.000 0.520 0.254
Ge19 0.000 0.699 0.336
Y8 0.500 0.326 0.826
Ge20 0.000 0.801 0.836
Y9 0.500 0.615 0.885
Y10 0.500 0.674 0.174
```


Entry 4:
NbHgN2O: single point on PBEsol structure, meta-GGA SCAN.

DOS at the Fermi energy	0.4831	states/eV/atom
SG	P4/mmm, No. 123
energy	-25.32	eV/atom

```
data_NbHgN2O
_chemical_formula_sum 'Nb1 Hg1 N2 O1'
_cell_length_a 3.925
_cell_length_b 4.139
_cell_length_c 4.139
_cell_angle_alpha 90.00
_cell_angle_beta 90.00
_cell_angle_gamma 90.00
_space_group_name_H-M_alt 'P 1'
_space_group_IT_number 1
_space_group_name_Hall 'P 1'
loop_
_atom_site_label
_atom_site_fract_x
_atom_site_fract_y
_atom_site_fract_z
Nb1 0.000 0.000 0.000
O1 0.500 0.000 0.000
N1 0.000 0.000 0.500
Hg1 0.500 0.500 0.500
N2 0.000 0.500 0.000
```


Entry 5:
Ca2YRh: single point on PBEsol structure, meta-GGA SCAN.

energy above the most stable polymorph in this dataset	12	meV/atom
DOS at the Fermi energy	0.9432	states/eV/atom
SG	P4mm, No. 99
energy	-20.61	eV/atom
energy relative to the elements	-0.37	eV/atom

```
data_Ca2YRh
_chemical_formula_sum 'Ca2 Y1 Rh1'
_cell_length_a 3.445
_cell_length_b 3.445
_cell_length_c 9.452
_cell_angle_alpha 90.00
_cell_angle_beta 90.00
_cell_angle_gamma 90.03
_space_group_name_H-M_alt 'P 1'
_space_group_IT_number 1
_space_group_name_Hall 'P 1'
loop_
_atom_site_label
_atom_site_fract_x
_atom_site_fract_y
_atom_site_fract_z
Ca1 0.000 0.000 0.011
Y1 0.500 0.500 0.329
Rh1 0.000 0.000 0.483
Ca2 0.500 0.500 0.677
```


Entry 6:
BaFeCu2: single point on PBEsol structure, meta-GGA SCAN.

DOS at the Fermi energy	1.0455	states/eV/atom
SG	Fm-3m, No. 225
energy	-21.28	eV/atom
energy relative to the elements	0.74	eV/atom

```
data_BaFeCu2
_chemical_formula_sum 'Ba1 Fe1 Cu2'
_cell_length_a 4.850
_cell_length_b 4.850
_cell_length_c 4.850
_cell_angle_alpha 60.00
_cell_angle_beta 60.00
_cell_angle_gamma 60.00
_space_group_name_H-M_alt 'P 1'
_space_group_IT_number 1
_space_group_name_Hall 'P 1'
loop_
_atom_site_label
_atom_site_fract_x
_atom_site_fract_y
_atom_site_fract_z
Fe1 0.000 0.000 0.000
Ba1 0.500 0.500 0.500
Cu1 0.250 0.250 0.250
Cu2 0.750 0.750 0.750
```


Entry 7:
NaNd8Se12: single point on PBEsol structure, meta-GGA SCAN.

DOS at the Fermi energy	0.3001	states/eV/atom
SG	I-42d, No. 122
energy	-30.37	eV/atom

```
data_NaNd8Se12
_chemical_formula_sum 'Na2 Nd16 Se24'
_cell_length_a 8.798
_cell_length_b 8.798
_cell_length_c 14.628
_cell_angle_alpha 107.50
_cell_angle_beta 107.50
_cell_angle_gamma 90.00
_space_group_name_H-M_alt 'P 1'
_space_group_IT_number 1
_space_group_name_Hall 'P 1'
loop_
_atom_site_label
_atom_site_fract_x
_atom_site_fract_y
_atom_site_fract_z
Se1 0.158 0.563 0.969
Nd1 0.956 0.581 0.419
Nd2 0.745 0.875 0.250
Se2 0.470 0.073 0.295
Se3 0.992 0.894 0.135
Nd3 0.505 0.375 0.250
Nd4 0.167 0.167 0.335
Nd5 0.419 0.537 0.581
Se4 0.777 0.530 0.705
Nd6 0.463 0.838 0.419
Nd7 0.125 0.495 0.750
Nd8 0.417 0.917 0.835
Nd9 0.833 0.833 0.665
Se5 0.437 0.189 0.031
Se6 0.258 0.510 0.365
Se7 0.490 0.893 0.635
Se8 0.106 0.857 0.865
Nd10 0.831 0.706 0.919
Nd11 0.088 0.213 0.919
Se9 0.092 0.344 0.531
Se10 0.143 0.240 0.135
Se11 0.439 0.187 0.531
Se12 0.927 0.174 0.705
Na1 0.500 0.500 0.000
Se13 0.107 0.856 0.365
Se14 0.323 0.220 0.795
Se15 0.473 0.576 0.795
Na2 0.750 0.250 0.500
Nd12 0.083 0.583 0.165
Nd13 0.294 0.912 0.081
Se16 0.594 0.842 0.031
Se17 0.813 0.908 0.469
Nd14 0.625 0.255 0.750
Se18 0.656 0.561 0.469
Nd15 0.162 0.044 0.581
Se19 0.760 0.008 0.865
Nd16 0.787 0.169 0.081
Se20 0.144 0.742 0.635
Se21 0.811 0.406 0.969
Se22 0.826 0.223 0.295
Se23 0.780 0.527 0.205
Se24 0.424 0.677 0.205
```


Entry 8:
SrCdBr2: single point on PBEsol structure, meta-GGA SCAN.

energy above the most stable polymorph in this dataset	654	meV/atom
DOS at the Fermi energy	0.8796	states/eV/atom
SG	R-3m, No. 166
energy	-23.64	eV/atom

```
data_SrCdBr2
_chemical_formula_sum 'Sr1 Cd1 Br2'
_cell_length_a 4.327
_cell_length_b 4.327
_cell_length_c 9.446
_cell_angle_alpha 76.76
_cell_angle_beta 76.76
_cell_angle_gamma 60.00
_space_group_name_H-M_alt 'P 1'
_space_group_IT_number 1
_space_group_name_Hall 'P 1'
loop_
_atom_site_label
_atom_site_fract_x
_atom_site_fract_y
_atom_site_fract_z
Sr1 0.000 0.000 0.000
Br1 0.891 0.891 0.328
Br2 0.109 0.109 0.672
Cd1 0.500 0.500 0.500
```


Entry 9:
Li2RuF: single point on PBEsol structure, meta-GGA SCAN.

energy above the most stable polymorph in this dataset	0	meV/atom
DOS at the Fermi energy	0.4489	states/eV/atom
SG	I-42d, No. 122
energy	-11.46	eV/atom

```
data_Li2RuF
_chemical_formula_sum 'Li4 Ru2 F2'
_cell_length_a 5.167
_cell_length_b 5.167
_cell_length_c 5.167
_cell_angle_alpha 95.29
_cell_angle_beta 116.99
_cell_angle_gamma 116.99
_space_group_name_H-M_alt 'P 1'
_space_group_IT_number 1
_space_group_name_Hall 'P 1'
loop_
_atom_site_label
_atom_site_fract_x
_atom_site_fract_y
_atom_site_fract_z
Ru1 0.500 0.750 0.250
Ru2 0.000 0.000 0.000
F1 0.500 0.250 0.750
F2 0.000 0.500 0.500
Li1 0.630 0.375 0.505
Li2 0.870 0.495 0.125
Li3 0.370 0.875 0.745
Li4 0.130 0.255 0.625
```


Entry 10:
BaSc2FePt: single point on PBEsol structure, meta-GGA SCAN.

DOS at the Fermi energy	1.2161	states/eV/atom
SG	P4/mmm, No. 123
energy	-29.59	eV/atom
energy relative to the elements	1.68	eV/atom

```
data_BaSc2FePt
_chemical_formula_sum 'Ba1 Sc2 Fe1 Pt1'
_cell_length_a 5.082
_cell_length_b 5.156
_cell_length_c 5.156
_cell_angle_alpha 90.00
_cell_angle_beta 90.00
_cell_angle_gamma 90.00
_space_group_name_H-M_alt 'P 1'
_space_group_IT_number 1
_space_group_name_Hall 'P 1'
loop_
_atom_site_label
_atom_site_fract_x
_atom_site_fract_y
_atom_site_fract_z
Sc1 0.000 0.000 0.500
Pt1 0.500 0.000 0.000
Ba1 0.000 0.000 0.000
Fe1 0.500 0.500 0.500
Sc2 0.000 0.500 0.000
```


Entry 11:
ZrCu2Ru: single point on PBEsol structure, meta-GGA SCAN.

energy above the most stable polymorph in this dataset	0	meV/atom
DOS at the Fermi energy	0.3844	states/eV/atom
SG	I-4m2, No. 119
energy	-24.15	eV/atom
energy relative to the elements	-0.17	eV/atom

```
data_ZrCu2Ru
_chemical_formula_sum 'Zr1 Cu2 Ru1'
_cell_length_a 3.872
_cell_length_b 3.873
_cell_length_c 4.691
_cell_angle_alpha 114.38
_cell_angle_beta 114.38
_cell_angle_gamma 90.00
_space_group_name_H-M_alt 'P 1'
_space_group_IT_number 1
_space_group_name_Hall 'P 1'
loop_
_atom_site_label
_atom_site_fract_x
_atom_site_fract_y
_atom_site_fract_z
Zr1 0.250 0.750 0.500
Cu1 0.750 0.250 0.500
Ru1 0.500 0.500 0.000
Cu2 0.000 0.000 0.000
```


Entry 12:
LiY2TiBr: single point on PBEsol structure, meta-GGA SCAN.

DOS at the Fermi energy	0.7247	states/eV/atom
SG	P4/mmm, No. 123
energy	-18.28	eV/atom

```
data_LiY2TiBr
_chemical_formula_sum 'Li1 Y2 Ti1 Br1'
_cell_length_a 4.422
_cell_length_b 5.373
_cell_length_c 5.373
_cell_angle_alpha 90.00
_cell_angle_beta 90.00
_cell_angle_gamma 90.00
_space_group_name_H-M_alt 'P 1'
_space_group_IT_number 1
_space_group_name_Hall 'P 1'
loop_
_atom_site_label
_atom_site_fract_x
_atom_site_fract_y
_atom_site_fract_z
Y1 0.000 0.500 0.000
Li1 0.000 0.000 0.000
Br1 0.500 0.500 0.500
Y2 0.000 0.000 0.500
Ti1 0.500 0.000 0.000
```


| no. | V (A^3/atom) |
| --- | --- |
| 1 | 33.9 |
| 2 | 21.6 |
| 3 | 18.7 |
| 4 | 13.4 |
| 5 | 28.0 |
| 6 | 20.2 |
| 7 | 24.4 |
| 8 | 36.9 |
| 9 | 12.7 |
| 10 | 27.0 |
| 11 | 14.3 |
| 12 | 25.5 |